(1)
Computed, not measured: an optimized crystal structure of LiTlIn2Cl6 at the GGA-PBE level of DFT.

POSCAR file:
```
LiTlIn2Cl6
1.0
-1.460 -0.784 8.045
2.579 -5.596 -5.511
5.782 4.276 -1.673
Cl In Tl Li
6 2 1 1
Direct
0.765 0.627 0.653
0.104 0.194 0.645
0.571 0.925 0.663
0.172 0.428 0.190
0.550 0.971 0.154
0.777 0.728 0.181
0.565 0.311 0.862
0.642 0.793 0.412
0.006 0.490 0.499
0.814 0.011 0.043
```

Size of the total moment: 0.00 μB/cell
ΔE_f (raw): -11.58 eV/f.u.

(2)
Computed, not measured: an optimized crystal structure of Li4Dy3ZrSe8 at the GGA-PBE level of DFT.

POSCAR file:
```
Li4Dy3ZrSe8
1.0
7.991 0.000 0.000
0.000 7.978 -0.018
-3.995 -3.991 5.652
Se Zr Li Dy
8 1 4 3
Direct
0.246 0.752 0.491
0.247 0.243 0.495
0.246 0.752 0.007
0.762 0.752 0.007
0.754 0.248 0.993
0.238 0.248 0.993
0.754 0.248 0.509
0.753 0.757 0.505
0.000 0.500 0.000
0.500 0.000 0.000
0.500 0.000 0.500
0.000 0.000 0.000
0.000 0.000 0.500
0.500 0.500 0.500
0.000 0.500 0.500
0.500 0.500 0.000
```

Size of the total moment: 0.00 μB/cell
ΔE_f (raw): -25.35 eV/f.u.

(3)
Computed, not measured: an optimized crystal structure of K4MgPb4 at the GGA-PBE level of DFT.

POSCAR file:
```
K4MgPb4
1.0
7.020 0.000 0.000
-3.510 8.136 3.510
0.000 0.000 7.020
K Pb Mg
4 4 1
Direct
0.444 0.244 0.556
0.200 0.756 0.444
0.800 0.244 0.200
0.556 0.756 0.800
0.003 0.317 0.686
0.314 0.317 0.997
0.686 0.683 0.314
0.997 0.683 0.003
0.000 0.000 0.000
```

E_tot: -20.034 eV per cell
Size of the total moment: 0.00 μB/cell

(4)
Computed, not measured: an optimized crystal structure of RbTlCuBr3 at the GGA-PBE level of DFT.

POSCAR file:
```
RbTlCuBr3
1.0
-1.910 -4.920 -2.337
8.949 0.780 -1.828
-0.652 -3.666 8.250
Br Tl Cu Rb
6 2 2 2
Direct
0.498 0.996 0.266
0.140 0.280 0.338
0.145 0.290 0.836
0.502 0.004 0.734
0.860 0.720 0.662
0.855 0.710 0.164
0.358 0.716 0.423
0.642 0.284 0.577
0.998 0.995 0.257
0.002 0.005 0.743
0.646 0.293 0.089
0.354 0.707 0.911
```

Size of the total moment: 0.00 μB/cell
ΔE_f (raw): -5.35 eV/f.u.

(5)
Computed, not measured: an optimized crystal structure of PrInO at the GGA-PBE level of DFT.

POSCAR file:
```
PrInO
1.0
-3.557 -0.648 -1.931
2.032 -1.414 -3.267
-0.307 -7.794 3.183
In O Pr
2 2 2
Direct
0.750 0.250 0.078
0.250 0.750 0.922
0.750 0.750 0.500
0.250 0.250 0.500
0.250 0.750 0.361
0.750 0.250 0.639
```

Size of the total moment: 0.00 μB/cell
Energy relative to the lowest polymorph listed for this composition: 0.0 meV/atom
ΔE_f (raw): -5.97 eV/f.u.

(6)
Computed, not measured: an optimized crystal structure of Zn2CuAs at the GGA-PBE level of DFT.

POSCAR file:
```
Zn2CuAs
1.0
-4.012 -2.786 -0.535
1.102 -4.778 -0.314
1.248 3.555 3.153
As Zn Cu
1 2 1
Direct
0.250 0.750 0.500
0.500 0.500 0.000
0.000 0.000 0.000
0.750 0.250 0.500
```

E_tot: -10.832 eV per cell
Size of the total moment: 0.00 μB/cell

(7)
Computed, not measured: an optimized crystal structure of TbBr2F at the GGA-PBE level of DFT.

POSCAR file:
```
TbBr2F
1.0
-3.195 -1.792 1.089
-1.559 -3.730 -4.006
1.269 -5.252 1.787
F Br Tb
1 2 1
Direct
0.750 0.608 0.892
0.958 0.015 0.070
0.542 0.430 0.485
0.250 0.447 0.053
```

Size of the total moment: 0.00 μB/cell
Energy relative to the lowest polymorph listed for this composition: 85.5 meV/atom
ΔE_f (raw): -10.18 eV/f.u.

(8)
Computed, not measured: an optimized crystal structure of TeAsN2F at the GGA-PBE level of DFT.

POSCAR file:
```
TeAsN2F
1.0
4.539 0.000 0.000
0.000 4.539 0.000
0.000 0.000 4.261
N As F Te
2 1 1 1
Direct
0.000 0.500 0.000
0.500 0.000 0.000
0.500 0.500 0.500
0.000 0.000 0.000
0.000 0.000 0.500
```

Size of the total moment: 4.12 μB/cell
Energy relative to the lowest polymorph listed for this composition: 1191.1 meV/atom
ΔE_f (raw): 9.52 eV/f.u.

(9)
Computed, not measured: an optimized crystal structure of YIn2Ni at the GGA-PBE level of DFT.

POSCAR file:
```
YIn2Ni
1.0
-3.278 -3.641 0.687
3.326 -3.445 -1.243
0.947 3.292 3.570
Ni In Y
1 2 1
Direct
0.500 0.500 0.000
0.750 0.250 0.500
0.000 0.000 0.000
0.250 0.750 0.500
```

E_tot: -18.484 eV per cell
Size of the total moment: 0.00 μB/cell

(10)
Computed, not measured: an optimized crystal structure of NaTiICl2 at the GGA-PBE level of DFT.

POSCAR file:
```
NaTiICl2
1.0
-4.426 1.520 -1.223
-2.589 -4.862 3.329
-0.138 2.781 3.954
Ti I Na Cl
1 1 1 2
Direct
0.000 0.500 0.000
0.500 0.500 0.500
0.000 0.000 0.000
0.000 0.000 0.500
0.500 0.000 0.000
```

Size of the total moment: 2.07 μB/cell
ΔE_f (raw): -0.95 eV/f.u.

(11)
Computed, not measured: an optimized crystal structure of MnFe2Cu at the GGA-PBE level of DFT.

POSCAR file:
```
MnFe2Cu
1.0
4.097 0.000 0.000
2.049 3.548 0.000
2.049 1.183 3.345
Fe Cu Mn
2 1 1
Direct
0.250 0.250 0.250
0.000 0.000 0.000
0.500 0.500 0.500
0.750 0.750 0.750
```

E_tot: -29.346 eV per cell
Size of the total moment: 8.03 μB/cell

(12)
Computed, not measured: an optimized crystal structure of TbErS3 at the GGA-PBE level of DFT.

POSCAR file:
```
TbErS3
1.0
3.887 0.000 0.000
0.000 7.294 0.000
0.000 0.000 15.166
S Tb Er
12 4 4
Direct
0.750 0.123 0.066
0.250 0.650 0.717
0.750 0.850 0.217
0.250 0.377 0.566
0.750 0.489 0.893
0.250 0.011 0.393
0.250 0.877 0.934
0.750 0.623 0.434
0.750 0.989 0.607
0.250 0.150 0.783
0.250 0.511 0.107
0.750 0.350 0.283
0.250 0.142 0.203
0.750 0.358 0.703
0.750 0.858 0.797
0.250 0.642 0.297
0.250 0.268 0.957
0.750 0.732 0.043
0.250 0.768 0.543
0.750 0.232 0.457
```

Size of the total moment: 0.00 μB/cell
Energy relative to the lowest polymorph listed for this composition: 0.0 meV/atom
ΔE_f (raw): -10.36 eV/f.u.

(13)
Computed, not measured: an optimized crystal structure of AcAl3Au3 at the GGA-PBE level of DFT.

POSCAR file:
```
AcAl3Au3
1.0
-4.795 1.856 1.745
0.028 -5.585 6.018
3.321 7.403 1.255
Al Au Ac
6 6 2
Direct
0.750 0.885 0.114
0.250 0.115 0.886
0.750 0.886 0.771
0.250 0.771 0.885
0.250 0.114 0.229
0.750 0.229 0.115
0.750 0.546 0.454
0.250 0.454 0.908
0.250 0.092 0.546
0.750 0.908 0.454
0.750 0.546 0.092
0.250 0.454 0.546
0.750 0.333 0.667
0.250 0.667 0.333
```

Size of the total moment: 0.00 μB/cell
Energy relative to the lowest polymorph listed for this composition: 229.7 meV/atom

(14)
Computed, not measured: an optimized crystal structure of Ac8Ir3CBr3 at the GGA-PBE level of DFT.

POSCAR file:
```
Ac8Ir3CBr3
1.0
-1.212 -8.540 -0.879
5.915 4.066 -4.874
2.115 -1.260 9.237
Ac C Ir Br
8 1 3 3
Direct
0.777 0.036 0.314
0.777 0.555 0.314
0.223 0.964 0.686
0.267 0.534 0.302
0.259 0.036 0.314
0.223 0.445 0.686
0.741 0.964 0.686
0.733 0.466 0.698
0.000 0.000 0.500
0.500 0.500 0.500
0.500 0.000 0.500
0.000 0.500 0.500
0.000 0.000 0.000
0.500 0.500 0.000
0.000 0.500 0.000
```

Size of the total moment: 0.04 μB/cell
ΔE_f (raw): -12.96 eV/f.u.

(15)
Computed, not measured: an optimized crystal structure of In2PW at the GGA-PBE level of DFT.

POSCAR file:
```
In2PW
1.0
2.981 0.001 0.000
-0.715 2.894 0.000
0.000 0.000 8.870
In P W
2 1 1
Direct
0.000 0.000 0.999
0.000 0.000 0.501
0.500 0.500 0.250
0.500 0.500 0.750
```

E_tot: -21.101 eV per cell
Size of the total moment: 0.00 μB/cell

(16)
Computed, not measured: an optimized crystal structure of CaTeNF2 at the GGA-PBE level of DFT.

POSCAR file:
```
CaTeNF2
1.0
4.713 0.000 0.000
0.000 4.713 0.000
0.000 0.000 4.191
Ca Te N F
1 1 1 2
Direct
0.500 0.500 0.500
0.000 0.000 0.000
0.000 0.000 0.500
0.000 0.500 0.000
0.500 0.000 0.000
```

Size of the total moment: 0.00 μB/cell
Energy relative to the lowest polymorph listed for this composition: 103.6 meV/atom
ΔE_f (raw): -4.62 eV/f.u.

(17)
Computed, not measured: an optimized crystal structure of ErAlZnAu2 at the GGA-PBE level of DFT.

POSCAR file:
```
ErAlZnAu2
1.0
-5.278 0.711 1.014
-1.246 -2.856 -4.484
0.556 -4.294 5.906
Au Al Zn Er
4 2 2 2
Direct
0.281 0.352 0.704
0.281 0.148 0.296
0.719 0.648 0.296
0.719 0.852 0.704
0.000 0.500 0.000
0.000 0.000 0.000
0.500 0.750 0.000
0.500 0.250 0.000
0.769 0.250 0.500
0.231 0.750 0.500
```

E_tot: -36.924 eV per cell
Size of the total moment: 0.00 μB/cell

(18)
Computed, not measured: an optimized crystal structure of TbEr2Tm2Sc at the GGA-PBE level of DFT.

POSCAR file:
```
TbEr2Tm2Sc
1.0
-4.133 3.495 0.778
-6.155 -7.200 -0.345
0.579 -0.819 6.754
Tm Tb Er Sc
4 2 4 2
Direct
0.500 0.167 0.248
0.000 0.667 0.252
0.000 0.333 0.748
0.500 0.833 0.752
0.500 0.500 0.000
0.000 0.000 0.500
0.000 0.334 0.253
0.500 0.834 0.247
0.500 0.166 0.753
0.000 0.666 0.747
0.000 0.000 0.000
0.500 0.500 0.500
```

E_tot: -56.847 eV per cell
Size of the total moment: 0.01 μB/cell

(19)
Computed, not measured: an optimized crystal structure of KTl2Hg7 at the GGA-PBE level of DFT.

POSCAR file:
```
KTl2Hg7
1.0
5.417 0.000 0.000
0.000 8.460 0.000
0.000 -4.230 7.843
Hg K Tl
7 1 2
Direct
0.000 0.608 0.216
0.000 0.392 0.784
0.500 0.086 0.794
0.500 0.914 0.206
0.500 0.292 0.206
0.500 0.500 0.000
0.500 0.708 0.794
0.000 0.000 0.000
0.500 0.721 0.441
0.500 0.279 0.559
```

Size of the total moment: 0.00 μB/cell
Energy relative to the lowest polymorph listed for this composition: 64.3 meV/atom

(20)
Computed, not measured: an optimized crystal structure of K2NaLiBr at the GGA-PBE level of DFT.

POSCAR file:
```
K2NaLiBr
1.0
6.735 0.000 0.000
0.000 6.735 0.000
0.000 0.000 5.087
K Na Br Li
2 1 1 1
Direct
0.500 0.000 0.000
0.000 0.500 0.000
0.500 0.500 0.500
0.000 0.000 0.000
0.000 0.000 0.500
```

Size of the total moment: 0.00 μB/cell
ΔE_f (raw): -2.61 eV/f.u.